# 1
PmGe2Pd3 | PBE | optimized geometry

Cell and atoms, written as POSCAR:
```
PmGe2Pd3
1.0
8.404 -2.048 0.000
8.404 2.048 0.000
-3.199 0.000 9.571
Pm Ge Pd
3 6 9
Direct
0.000 0.000 0.000
0.154 0.154 0.696
0.846 0.846 0.304
0.199 0.199 0.131
0.363 0.363 0.547
0.462 0.462 0.219
0.538 0.538 0.781
0.637 0.637 0.453
0.801 0.801 0.869
0.042 0.042 0.333
0.218 0.218 0.392
0.320 0.320 0.036
0.377 0.377 0.801
0.500 0.500 0.500
0.623 0.623 0.199
0.680 0.680 0.964
0.782 0.782 0.608
0.958 0.958 0.667
```

## Properties
Space group   C2/m
Energy of formation   -4.8 eV/f.u.

=====

# 2
SbAsC | PBE | optimized geometry

Cell and atoms, written as POSCAR:
```
SbAsC
1.0
5.987 -1.760 0.000
5.987 1.760 0.000
-5.811 0.000 7.346
Sb As C
2 2 2
Direct
0.000 0.000 0.000
0.731 0.731 0.457
0.462 0.462 0.356
0.842 0.842 0.120
0.301 0.301 0.638
0.391 0.391 0.821
```

## Properties
Space group   Cm
Formation energy from raw total energies   1.709 eV/f.u.

=====

# 3
SrLa2Cl | PBE | optimized geometry

Cell and atoms, written as POSCAR:
```
SrLa2Cl
1.0
0.000 4.197 4.197
4.197 0.000 4.197
4.197 4.197 0.000
Sr La Cl
1 2 1
Direct
0.000 0.000 0.000
0.250 0.250 0.250
0.500 0.500 0.500
0.750 0.750 0.750
```

## Properties
Space group   F-43m
Formation energy from raw total energies   0.063 eV/f.u.

=====

Number 1: density 9.2 Mg/m³. Number 2: density 4.5 Mg/m³. Number 3: density 4.5 Mg/m³.